VASP calculation (PBE) on a relaxed YSb2Se crystal.

Values from the calculation:
Energy (eV per atom): -5.233
Density (g cm⁻³): 6.27
ΔE_f (raw) (meV per atom): -685
Symmetry: Amm2, No. 38

Geometry as POSCAR:
```
YSb2Se
1.0
4.6154 0.0000 0.0000
0.0000 4.0956 0.0000
0.0000 0.0000 11.5339
Y Sb Se
2 4 2
Cartesian
0.0000 0.0000 0.0000
0.0000 2.0478 5.7669
2.3077 0.0000 2.2179
2.3077 0.0000 5.0200
2.3077 2.0478 7.9849
2.3077 2.0478 10.7869
0.0000 0.0000 8.0124
0.0000 2.0478 2.2455
```


VASP calculation (PBE) on a relaxed YSb2Se crystal.

Values from the calculation:
Energy (eV per atom): -5.236
Density (g cm⁻³): 6.34
ΔE_f (raw) (meV per atom): -687
Symmetry: C2/m, No. 12

Geometry as POSCAR:
```
YSb2Se
1.0
12.2381 0.0000 0.0000
0.0000 4.0377 0.0000
-0.6842 0.0000 4.3579
Y Sb Se
2 4 2
Cartesian
0.0000 0.0000 0.0000
6.1191 2.0189 0.0000
2.6456 2.0189 0.9789
2.7893 0.0000 3.3790
8.7646 0.0000 0.9789
8.9083 2.0189 3.3790
-0.3421 2.0189 2.1790
5.7769 0.0000 2.1790
```


VASP calculation (PBE) on a relaxed YSb2Se crystal.

Values from the calculation:
Energy (eV per atom): -4.972
Density (g cm⁻³): 6.64
ΔE_f (raw) (meV per atom): -423
Symmetry: Cmmm, No. 65

Geometry as POSCAR:
```
YSb2Se
1.0
6.4011 0.0000 0.0000
0.0000 8.3320 0.0000
0.0000 0.0000 3.8561
Y Sb Se
2 4 2
Cartesian
0.0000 0.0000 0.0000
3.2005 4.1660 0.0000
1.6003 2.0830 1.9281
1.6003 6.2490 1.9281
4.8008 2.0830 1.9281
4.8008 6.2490 1.9281
0.0000 4.1660 0.0000
3.2005 0.0000 0.0000
```


VASP calculation (PBE) on a relaxed Y2SbSe crystal.

Values from the calculation:
Energy (eV per atom): -6.605
Energy relative to the lowest polymorph listed for this composition (kcal/mol of atoms): 0.04
Density (g cm⁻³): 5.82
ΔE_f (raw) (meV per atom): -1471
Symmetry: C2/m, No. 12

Geometry as POSCAR:
```
Y2SbSe
1.0
7.3608 0.0000 0.0000
0.0000 4.2484 0.0000
-2.4408 0.0000 6.9127
Y Sb Se
4 2 2
Cartesian
1.2280 0.0000 1.6490
0.0115 2.1242 5.2638
4.9084 2.1242 1.6490
3.6919 0.0000 5.2638
-1.2204 0.0000 3.4564
2.4600 2.1242 3.4564
0.0000 2.1242 0.0000
3.6804 0.0000 0.0000
```